Record 1
4
Lattice="4.6287 0.0000 0.0000 0.0000 4.6281 0.0000 0.0000 0.0000 3.4699" Properties=species:S:1:pos:R:3 comment="PBE-GGA Tl2CuTc, relaxed" polymorph_energy_mev_per_atom=52 crystal_system=tetragonal pbc="T T T"
Tl 0.0000 0.0000 0.0000
Tl 2.3144 2.3141 0.0000
Cu 2.3144 0.0000 1.7350
Tc 0.0000 2.3141 1.7350



Record 2
6
Lattice="2.6768 -2.2202 -5.1027 3.9365 -4.7416 0.3917 -1.6223 -5.5475 -2.1738" Properties=species:S:1:pos:R:3 comment="PBE-GGA Tl4CuTc, relaxed" e_tot_ev_per_atom=-2.8995 crystal_system=cubic pbc="T T T"
Cu 3.7433 -9.3819 -5.1636
Tl 1.0597 -7.4654 -3.6688
Tl 3.8406 -7.0622 -2.3854
Tl 1.8713 -4.6901 -2.5813
Tl 3.2105 -5.8008 -5.1341
Tc 0.0000 0.0000 0.0000



Record 3
4
Lattice="2.8288 -0.0189 0.0000 -1.2054 2.5592 0.0000 0.0000 0.0000 9.3151" Properties=species:S:1:pos:R:3 comment="PBE-GGA TlCuTc2, relaxed" polymorph_energy_mev_per_atom=257 crystal_system=orthorhombic pbc="T T T"
Tc 0.0000 0.0000 0.0154
Tc 0.8117 1.2701 2.0799
Tl 0.0000 0.0000 4.7014
Cu 0.8117 1.2701 7.1759



Record 4
4
Lattice="3.2372 0.0000 0.0000 0.0000 3.2372 0.0000 0.0000 0.0000 6.2601" Properties=species:S:1:pos:R:3 comment="PBE-GGA TlCuTc2, relaxed" polymorph_energy_mev_per_atom=309 crystal_system=tetragonal pbc="T T T"
Tc 0.0000 0.0000 3.4936
Tc 0.0000 0.0000 5.8965
Tl 1.6186 1.6186 1.5650
Cu 1.6186 1.6186 4.6951



Record 5
4
Lattice="-2.5147 -1.0405 3.5504 -3.3726 2.6765 1.2138 -4.2314 -1.3350 -0.5701" Properties=species:S:1:pos:R:3 comment="PBE-GGA TlCuTc2, relaxed" polymorph_energy_mev_per_atom=441 crystal_system=cubic pbc="T T T"
Tl -5.0594 0.1505 2.0971
Tc -2.5297 0.0753 1.0485
Tc -7.5891 0.2258 3.1456
Cu 0.0000 0.0000 0.0000



Record 6
8
Lattice="-1.9098 2.4570 2.3369 -2.5435 0.7357 -2.8521 -7.5945 -5.4104 2.7221" Properties=species:S:1:pos:R:3 comment="PBE-GGA TlCu2Tc, relaxed" polymorph_energy_mev_per_atom=364 crystal_system=tetragonal pbc="T T T"
Tl -5.8655 -0.6785 2.4007
Tl 0.0000 0.0000 0.0000
Cu -3.8051 -0.4853 -0.7145
Cu -9.4886 -1.2943 1.7073
Cu -3.3322 0.1746 1.6891
Cu -7.4698 -2.8305 1.7318
Tc -6.1824 -1.5392 -0.1938
Tc -2.2267 1.5963 -0.2576



Record 7
4
Lattice="5.3467 0.0034 0.0118 2.6365 4.6515 -0.0118 -3.5881 -3.0194 2.5683" Properties=species:S:1:pos:R:3 comment="PBE-GGA TlCuTc2, relaxed" polymorph_energy_mev_per_atom=276 crystal_system=orthorhombic pbc="T T T"
Tc 3.9193 2.2853 0.0000
Tc 0.0723 0.0422 0.0000
Tl 2.8751 -0.3443 1.2901
Cu 1.5200 1.9798 1.2782



Record 8
4
Lattice="4.8004 0.0000 0.0000 0.0000 3.0429 0.0107 0.0000 -0.2602 4.6621" Properties=species:S:1:pos:R:3 comment="PBE-GGA TlCuTc2, relaxed" polymorph_energy_mev_per_atom=289 crystal_system=monoclinic pbc="T T T"
Tc 0.0000 -0.0963 4.4650
Tc 0.0000 1.2274 2.5334
Tl 2.4002 0.6957 1.1682
Cu 2.4002 2.0870 3.5045



Record 9
4
Lattice="-3.0031 -3.1679 -0.8872 -3.5458 0.9376 -2.5277 -0.3120 -1.6843 -4.1118" Properties=species:S:1:pos:R:3 comment="PBE-GGA TlCu2Tc, relaxed" polymorph_energy_mev_per_atom=144 crystal_system=cubic pbc="T T T"
Cu -1.7152 -0.9786 -1.8817
Cu -5.1456 -2.9359 -5.6451
Tl -3.4304 -1.9573 -3.7634
Tc 0.0000 0.0000 0.0000



Record 10
4
Lattice="2.9776 0.0212 0.0000 -0.0213 2.9776 0.0000 0.0000 0.0000 7.0444" Properties=species:S:1:pos:R:3 comment="PBE-GGA TlCu2Tc, relaxed" polymorph_energy_mev_per_atom=27 crystal_system=tetragonal pbc="T T T"
Cu 1.4781 1.4994 1.6766
Cu 0.0000 0.0000 0.3259
Tc 0.0000 0.0000 3.2133
Tl 1.4781 1.4994 5.3509



Record 11
4
Lattice="-2.0034 1.5800 4.9447 1.6376 -2.7071 4.5771 2.3316 2.3632 -4.4653" Properties=species:S:1:pos:R:3 comment="PBE-GGA Tl2CuTc, relaxed" polymorph_energy_mev_per_atom=94 crystal_system=tetragonal pbc="T T T"
Tc 0.0726 1.6898 2.6201
Tl 1.8932 -0.4538 2.4363
Tl 0.0000 0.0000 0.0000
Cu -0.1829 -0.5636 4.7609



Record 12
5
Lattice="4.7164 0.0000 0.0000 0.0000 5.1020 0.0000 0.0000 0.0000 4.7164" Properties=species:S:1:pos:R:3 comment="PBE-GGA YTlCu2Tc, relaxed" e_tot_ev_per_atom=-4.8512 crystal_system=tetragonal pbc="T T T"
Cu 0.0000 0.0000 2.3582
Cu 2.3582 0.0000 0.0000
Tc 0.0000 0.0000 0.0000
Tl 0.0000 2.5510 0.0000
Y 2.3582 2.5510 2.3582



Record 13
5
Lattice="5.5834 0.0000 0.0000 0.0000 4.8308 0.0000 0.0000 0.0000 5.5834" Properties=species:S:1:pos:R:3 comment="PBE-GGA ZrTl2CuTc, relaxed" e_tot_ev_per_atom=-3.9821 crystal_system=tetragonal pbc="T T T"
Tc 2.7917 2.4154 2.7917
Cu 0.0000 2.4154 0.0000
Zr 0.0000 0.0000 0.0000
Tl 0.0000 0.0000 2.7917
Tl 2.7917 0.0000 0.0000



Record 14
11
Lattice="5.0277 0.0000 0.0000 0.0000 6.6603 0.0910 -2.5138 -2.7483 8.0079" Properties=species:S:1:pos:R:3 comment="PBE-GGA Tm8Cu2Tc, relaxed" polymorph_energy_mev_per_atom=0 crystal_system=monoclinic pbc="T T T"
Tc 2.5138 0.0000 0.0000
Cu 2.5138 0.1957 5.0968
Cu 0.0000 3.7162 3.0021
Tm 0.0000 1.4763 6.5808
Tm 2.5138 2.9072 4.9250
Tm 0.0000 5.1301 0.5820
Tm 0.0000 -1.6429 5.3215
Tm 0.0000 1.0047 3.1739
Tm 2.5138 5.5548 2.7774
Tm 2.5138 2.4356 1.5181
Tm 2.5138 -1.2182 7.5169



Record 15
11
Lattice="5.5293 -0.0247 -0.9819 -1.9599 6.7533 -3.0938 -0.0793 -0.3496 7.6741" Properties=species:S:1:pos:R:3 comment="PBE-GGA Tm8Cu2Tc, relaxed" polymorph_energy_mev_per_atom=106 crystal_system=monoclinic pbc="T T T"
Tm 5.0050 1.1217 4.4403
Tm 3.9148 5.2394 -1.8020
Tm 0.7096 4.2226 4.5781
Tm 3.1614 4.0907 2.1463
Tm 3.0504 0.4621 1.6833
Tm 0.2528 5.9479 1.9626
Tm 2.5949 2.1825 -0.9248
Tm 0.2476 2.3428 1.5021
Cu 2.0830 1.8329 3.9420
Cu 1.3450 4.6204 -0.2838
Tc 0.5445 0.0251 -0.0785



Number 1: V 74.33 Å³ per cell, total moment 0.000 μB per cell, D(E_F) 2.62 states/eV/cell. Number 2: V 166.50 Å³ per cell, total moment 3.688 μB per cell, D(E_F) 5.48 states/eV/cell. Number 3: V 67.22 Å³ per cell, total moment 0.000 μB per cell, D(E_F) 3.23 states/eV/cell. Number 4: V 65.60 Å³ per cell, total moment 0.000 μB per cell, D(E_F) 4.97 states/eV/cell. Number 5: V 63.30 Å³ per cell, total moment 0.000 μB per cell, D(E_F) 4.37 states/eV/cell. Number 6: V 141.09 Å³ per cell, total moment 3.107 μB per cell, D(E_F) 7.13 states/eV/cell. Number 7: V 63.76 Å³ per cell, total moment 0.000 μB per cell, D(E_F) 3.38 states/eV/cell. Number 8: V 68.11 Å³ per cell, total moment 0.000 μB per cell, D(E_F) 1.74 states/eV/cell. Number 9: V 62.49 Å³ per cell, total moment 1.985 μB per cell, D(E_F) 2.94 states/eV/cell. Number 10: V 62.46 Å³ per cell, total moment 0.734 μB per cell, D(E_F) 2.86 states/eV/cell. Number 11: V 76.21 Å³ per cell, total moment 1.220 μB per cell, D(E_F) 2.62 states/eV/cell. Number 12: V 113.49 Å³ per cell, total moment 0.000 μB per cell, D(E_F) 3.18 states/eV/cell. Number 13: V 150.60 Å³ per cell, total moment 3.651 μB per cell, D(E_F) 4.65 states/eV/cell. Number 14: V 269.41 Å³ per cell, total moment 0.000 μB per cell, D(E_F) 10.74 states/eV/cell. Number 15: V 279.01 Å³ per cell, total moment 0.000 μB per cell, D(E_F) 12.01 states/eV/cell.